# 1
Here is PmGdMnZn after structural relaxation from the Alexandria database. Energies are from PBE-GGA.

Values from the calculation:
As for the density of states at the Fermi level: 19.5 states/eV per cell. For the magnetization, the calculation gives 41.77 Bohr magnetons per cell. The formation energy comes out at 5 meV per atom. The value obtained for the total energy is -7.31 eV/atom.

a = 7.2451 Å, b = 7.2451 Å, c = 7.2451 Å
α = 90.00°, β = 90.00°, γ = 90.00°
Space group F-43m (No. 216)
Inequivalent atoms, fractional coordinates:
Pm 0.0000 0.0000 0.0000 x4
Gd 0.0000 0.0000 0.5000 x4
Mn 0.2500 0.2500 0.7500 x4
Zn 0.2500 0.2500 0.2500 x4

***

# 2
Here is TbDy5Ho2Mg after structural relaxation from the Alexandria database. Energies are from PBE-GGA.

Values from the calculation:
As for the density of states at the Fermi level: 48.4 states/eV per cell. For the magnetization, the calculation gives 0.00 Bohr magnetons per cell. The formation energy comes out at 104 meV per atom. The value obtained for the total energy is -4.16 eV/atom.

a = 5.3941 Å, b = 19.9528 Å, c = 10.4801 Å
α = 90.00°, β = 90.00°, γ = 90.00°
Space group Cmc2_1 (No. 36)
Inequivalent atoms, fractional coordinates:
Tb 0.0000 0.2059 0.0000 x4
Dy 0.0000 0.0139 0.0000 x4
Dy 0.0000 0.2897 0.2989 x4
Dy 0.0000 0.2901 0.7010 x4
Dy 0.0000 0.3831 0.9999 x4
Dy 0.0000 0.5001 0.2496 x4
Ho 0.0000 0.1143 0.2872 x4
Ho 0.0000 0.1145 0.7128 x4
Mg 0.0000 0.4049 0.4991 x4

***

# 3
Here is Sn5Sb2Pd12 after structural relaxation from the Alexandria database. Energies are from PBE-GGA.

Values from the calculation:
As for the density of states at the Fermi level: 19.4 states/eV per cell. As for the energy relative to the elements, uncorrected: -0.35 eV per atom. For the magnetization, the calculation gives 0.00 Bohr magnetons per cell. The value obtained for the total energy is -5.12 eV/atom.

a = 13.5159 Å, b = 7.6755 Å, c = 7.3459 Å
α = 90.00°, β = 101.11°, γ = 90.00°
Space group C2/m (No. 12)
Inequivalent atoms, fractional coordinates:
Sn 0.0000 0.0000 0.0000 x2
Sn 0.1990 0.5000 0.3414 x4
Sn 0.2356 0.0000 0.0618 x4
Sb 0.0000 0.2385 0.5000 x4
Pd 0.0081 0.5000 0.7407 x4
Pd 0.0996 0.0000 0.7303 x4
Pd 0.1149 0.2985 0.0334 x8
Pd 0.1942 0.3055 0.6458 x8

***

# 4
Here is Zn2MoPb after structural relaxation from the Alexandria database. Energies are from PBE-GGA.

Values from the calculation:
As for the density of states at the Fermi level: 6.1 states/eV per cell. For the magnetization, the calculation gives 0.05 Bohr magnetons per cell. The formation energy comes out at 443 meV per atom. The value obtained for the total energy is -3.83 eV/atom.

a = 3.9358 Å, b = 3.9358 Å, c = 9.2070 Å
α = 90.00°, β = 90.00°, γ = 90.00°
Space group I4/mmm (No. 139)
Inequivalent atoms, fractional coordinates:
Zn 0.0000 0.5000 0.2500 x4
Mo 0.0000 0.0000 0.0000 x2
Pb 0.0000 0.0000 0.5000 x2

***

# 5
Here is Li4AsAu after structural relaxation from the Alexandria database. Energies are from PBE-GGA.

Values from the calculation:
Its energy above the most stable polymorph in this dataset is 0 kJ/mol of formula units. As for the density of states at the Fermi level: 0.6 states/eV per cell. For the magnetization, the calculation gives 0.00 Bohr magnetons per cell. The formation energy comes out at -512 meV per atom. The value obtained for the total energy is -3.11 eV/atom.

a = 4.3988 Å, b = 4.3988 Å, c = 6.0047 Å
α = 90.00°, β = 90.00°, γ = 90.00°
Space group P4/mmm (No. 123)
Inequivalent atoms, fractional coordinates:
Li 0.0000 0.5000 0.2224 x4
As 0.0000 0.0000 0.0000 x1
Au 0.5000 0.5000 0.5000 x1

***

# 6
Here is Pr2Nd3Ho4 after structural relaxation from the Alexandria database. Energies are from PBE-GGA.

Values from the calculation:
Its energy above the most stable polymorph in this dataset is 0 kJ/mol of formula units. As for the density of states at the Fermi level: 13.4 states/eV per cell. For the magnetization, the calculation gives 0.00 Bohr magnetons per cell. The formation energy comes out at 19 meV per atom. The value obtained for the total energy is -4.67 eV/atom.

a = 6.2613 Å, b = 6.2708 Å, c = 8.0885 Å
α = 82.50°, β = 75.11°, γ = 80.50°
Space group P-1 (No. 2)
Inequivalent atoms, fractional coordinates:
Pr 0.1682 0.3323 0.3329 x2
Nd 0.0578 0.1102 0.7779 x2
Nd 0.5000 0.0000 0.0000 x1
Ho 0.2778 0.5531 0.8883 x2
Ho 0.3908 0.7743 0.4459 x2

***

Please write out number 4 again, unchanged.
Here is Zn2MoPb after structural relaxation from the Alexandria database. Energies are from PBE-GGA.

Values from the calculation:
As for the density of states at the Fermi level: 6.1 states/eV per cell. For the magnetization, the calculation gives 0.05 Bohr magnetons per cell. The formation energy comes out at 443 meV per atom. The value obtained for the total energy is -3.83 eV/atom.

a = 3.9358 Å, b = 3.9358 Å, c = 9.2070 Å
α = 90.00°, β = 90.00°, γ = 90.00°
Space group I4/mmm (No. 139)
Inequivalent atoms, fractional coordinates:
Zn 0.0000 0.5000 0.2500 x4
Mo 0.0000 0.0000 0.0000 x2
Pb 0.0000 0.0000 0.5000 x2